Entry from Alexandria via LeMat-Bulk: a relaxed structure of La2MnSn4Pd3 (PBE).

Structure (extended XYZ):
```
10
Lattice="4.5400 0.0000 0.0000 0.0000 4.5400 0.0000 0.0000 0.0000 11.2122" Properties=species:S:1:pos:R:3 pbc="T T T"
La 2.2700 0.0000 2.8617
La 0.0000 2.2700 8.3505
Mn 2.2700 2.2700 5.6061
Sn 2.2700 2.2700 0.0000
Sn 0.0000 0.0000 0.0000
Sn 2.2700 0.0000 7.0849
Sn 0.0000 2.2700 4.1273
Pd 0.0000 0.0000 5.6061
Pd 2.2700 0.0000 9.7303
Pd 0.0000 2.2700 1.4820
```

formation energy = -0.6882 eV/atom
E = -5.75 eV/atom
D(E_F) = 5.702 states/eV per cell
SG = No. 115
V = 23.110 Å³/atom



Entry from Alexandria via LeMat-Bulk: a relaxed structure of Hf5Zr4 (PBE).

Structure (extended XYZ):
```
9
Lattice="-1.7676 2.7786 -3.0502 -3.5345 -3.8938 -4.8016 -6.5020 1.9002 2.1961" Properties=species:S:1:pos:R:3 pbc="T T T"
Hf -4.5494 1.1731 -2.9006
Hf -7.2547 -0.3882 -2.7551
Hf 0.0000 0.0000 0.0000
Hf -4.5328 -1.9446 -2.4475
Hf -5.5037 -0.0490 -0.1580
Zr -5.5174 3.1196 -0.5666
Zr -1.7653 -0.3677 -2.6148
Zr -2.7522 1.5592 -0.2876
Zr -3.5367 -0.7476 -5.2371
```

formation energy = 0.0561 eV/atom
E = -9.27 eV/atom
D(E_F) = 12.389 states/eV per cell
SG = No. 139
V = 22.779 Å³/atom



Entry from Alexandria via LeMat-Bulk: a relaxed structure of Tm5Pt4 (PBE).

Structure (extended XYZ):
```
36
Lattice="7.4129 0.0000 0.0000 0.0000 7.5163 0.0000 0.0000 0.0000 14.4098" Properties=species:S:1:pos:R:3 pbc="T T T"
Tm 4.8326 1.2527 8.9763
Tm 1.1262 2.5054 12.6385
Tm 2.5803 6.2636 1.7714
Tm 6.2867 5.0109 5.4336
Tm 2.5803 6.2636 5.4336
Tm 6.2867 5.0109 1.7714
Tm 4.8326 1.2527 12.6385
Tm 1.1262 2.5054 8.9763
Tm 3.6822 5.1043 8.5473
Tm 7.3886 6.1701 13.0675
Tm 3.7307 2.4120 1.3423
Tm 0.0242 1.3462 5.8626
Tm 3.7307 2.4120 5.8626
Tm 0.0242 1.3462 1.3423
Tm 3.6822 5.1043 13.0675
Tm 7.3886 6.1701 8.5473
Tm 6.0331 3.8366 10.8074
Tm 2.3267 7.4378 10.8074
Tm 1.3797 3.6797 3.6025
Tm 5.0862 0.0785 3.6025
Pt 5.0958 7.2688 6.6077
Pt 1.3894 4.0057 0.5972
Pt 2.3170 0.2475 13.8127
Pt 6.0235 3.5106 7.8021
Pt 2.3170 0.2475 7.8021
Pt 6.0235 3.5106 13.8127
Pt 5.0958 7.2688 0.5972
Pt 1.3894 4.0057 6.6077
Pt 3.3307 2.9129 10.8074
Pt 7.0372 0.8453 10.8074
Pt 4.0822 4.6034 3.6025
Pt 0.3757 6.6710 3.6025
Pt 5.0132 6.4329 10.8074
Pt 1.3068 4.8415 10.8074
Pt 2.3997 1.0834 3.6025
Pt 6.1061 2.6747 3.6025
```

formation energy = -1.2290 eV/atom
E = -6.40 eV/atom
D(E_F) = 20.509 states/eV per cell
SG = No. 62
V = 22.302 Å³/atom